Below is an optimized crystal structure of HoSi4Pd3, with properties calculated at the PBE level.

Output
E_tot (eV per cell): -45.58
M_tot (μB per formula unit): 0.0
SG: No. 6

abc: 4.746 4.033 6.920
angles: 90.00 92.77 90.00
Element x y z (fractional)
Ho1 0.000 0.000 0.000
Si1 0.026 0.500 0.706
Si2 0.356 0.000 0.649
Si3 0.492 0.000 0.230
Si4 0.773 0.500 0.249
Pd1 0.260 0.500 0.385
Pd2 0.531 0.500 0.832
Pd3 0.833 0.000 0.524